Compound: TcSbAs3
Source: Alexandria via LeMat-Bulk
Functional: PBE
Structure: optimized geometry

Cell lengths 4.8440, 4.8440, 4.8440 Å; angles 90.00, 90.00, 90.00 degrees
Last column: nearest neighbours and their distance in Å.
Fractional coordinates of all 5 atoms:
Tc: 0.0000 0.0000 0.0000  6 As 2.42
Sb: 0.5000 0.5000 0.5000  12 As 3.43
As: 0.0000 0.0000 0.5000  2 Tc 2.42
As: 0.0000 0.5000 0.0000  2 Tc 2.42
As: 0.5000 0.0000 0.0000  2 Tc 2.42

Results
- Uncorrected energy: -5.234 eV per atom
- Density: 6.49 Mg/m³
- Fermi-level density of states: 0.92 states/eV/atom
- Energy above the most stable polymorph in this dataset: 0 meV/atom
- Raw formation energy: 0.453 eV/atom